(1)
Entry from Alexandria via LeMat-Bulk: InRe2Hg after structural relaxation (PBE).

As for the calculated volume: 17.7 Å³ per atom. For the total magnetic moment, the calculation gives 0.00 μB per formula unit. For the total energy, the calculation gives -5.990 eV/atom. The offset from the most stable computed form comes out at 699 meV per atom. The calculation puts the formation energy at 0.99 eV/atom.

It has space group Cmmm (No. 65), with a = 5.499 Å, b = 8.766 Å, c = 2.941 Å, α = 90.00°, β = 90.00° and γ = 90.00°. Symmetry generates all atoms from In at (0.000, 0.000, 0.000), Re at (0.250, 0.250, 0.500) and Hg at (0.000, 0.500, 0.000).

(2)
Entry from Alexandria via LeMat-Bulk: Mn2BiBr8 after structural relaxation (PBE).

As for the calculated volume: 35.7 Å³ per atom. For the total magnetic moment, the calculation gives 9.00 μB per formula unit. For the total energy, the calculation gives -3.912 eV/atom. The energy relative to the elements, uncorrected is -675.7 meV per atom.

It has space group P-1 (No. 2), with a = 3.785 Å, b = 10.031 Å, c = 10.505 Å, α = 91.21°, β = 99.67° and γ = 90.80°. Symmetry generates all atoms from Mn at (0.174, 0.342, 0.349), Bi at (0.000, 0.000, 0.000), Br at (0.061, 0.269, 0.112), Br at (0.288, 0.799, 0.559), Br at (0.329, 0.484, 0.672) and Br at (0.417, 0.095, 0.815).

(3)
Entry from Alexandria via LeMat-Bulk: PmFeBC after structural relaxation (PBE).

As for the calculated volume: 13.2 Å³ per atom. For the total magnetic moment, the calculation gives 1.83 μB per formula unit. For the total energy, the calculation gives -7.513 eV/atom. The calculation puts the formation energy at -0.23 eV/atom.

It has space group P4/nmm (No. 129, origin choice 2), with a = 3.644 Å, b = 3.644 Å, c = 7.967 Å, α = 90.00°, β = 90.00° and γ = 90.00°. Symmetry generates all atoms from Pm at (0.250, 0.250, 0.166), Fe at (0.250, 0.750, 0.500), B at (0.250, 0.250, 0.658) and C at (0.250, 0.250, 0.846).

(4)
Entry from Alexandria via LeMat-Bulk: PrHo5Te4 after structural relaxation (PBE).

As for the calculated volume: 32.1 Å³ per atom. For the total magnetic moment, the calculation gives 0.00 μB per formula unit. For the total energy, the calculation gives -4.907 eV/atom. The energy relative to the elements, uncorrected is -883.9 meV per atom.

It has space group C2/m (No. 12), with a = 18.350 Å, b = 4.197 Å, c = 8.562 Å, α = 90.00°, β = 103.48° and γ = 90.00°. Symmetry generates all atoms from Pr at (0.000, 0.000, 0.000), Ho at (0.000, 0.000, 0.500), Ho at (0.159, 0.500, 0.786), Ho at (0.192, 0.500, 0.355), Te at (0.017, 0.500, 0.269) and Te at (0.173, 0.000, 0.068).

(5)
Entry from Alexandria via LeMat-Bulk: MnW2Cl after structural relaxation (PBE).

As for the calculated volume: 14.2 Å³ per atom. For the total magnetic moment, the calculation gives 0.00 μB per formula unit. For the total energy, the calculation gives -8.701 eV/atom. The energy relative to the elements, uncorrected is 529.6 meV per atom. The offset from the most stable computed form comes out at 220 meV per atom.

It has space group P4/mmm (No. 123), with a = 2.869 Å, b = 2.869 Å, c = 6.879 Å, α = 90.00°, β = 90.00° and γ = 90.00°. Symmetry generates all atoms from Mn at (0.000, 0.000, 0.000), W at (0.500, 0.500, 0.235) and Cl at (0.000, 0.000, 0.500).

(6)
Entry from Alexandria via LeMat-Bulk: YNbBr after structural relaxation (PBE).

As for the calculated volume: 25.7 Å³ per atom. For the total magnetic moment, the calculation gives 0.00 μB per formula unit. For the total energy, the calculation gives -6.323 eV/atom. The energy relative to the elements, uncorrected is -254.0 meV per atom. The offset from the most stable computed form comes out at 394 meV per atom.

It has space group Pm (No. 6), with a = 6.085 Å, b = 3.454 Å, c = 7.880 Å, α = 90.00°, β = 111.42° and γ = 90.00°. Symmetry generates all atoms from Y at (0.000, 0.000, 0.000), Y at (0.028, 0.500, 0.493), Nb at (0.419, 0.000, 0.794), Nb at (0.562, 0.500, 0.053), Br at (0.320, 0.500, 0.281) and Br at (0.730, 0.000, 0.618).